Computed, not measured: a relaxed structure of KSc2Rh at the PBE level of DFT.

Structure (extended XYZ):
```
4
Lattice="-2.1904 -0.4892 -2.8950 2.6017 -2.0092 -1.6290 -3.2334 -7.1497 3.6545" Properties=species:S:1:pos:R:3 pbc="T T T"
Rh -2.6120 -7.4797 0.9227
Sc -0.3181 -2.4073 -1.6700
Sc -3.0187 -6.6749 3.4118
K -1.7234 -3.8107 1.9478
```

Its magnetization is 0.00 μB per atom. As for the space group: P4mm, No. 99. As for the energy above the lowest structure with this stoichiometry: 130.2 meV/atom. The energy relative to the elements comes out at -0.110 eV per atom. The value obtained for the density of states at the Fermi level is 3.704 states/eV/cell.

***

Computed, not measured: a relaxed structure of CaNbGa2Tc at the PBE level of DFT.

Structure (extended XYZ):
```
5
Lattice="5.1022 0.0000 0.0000 0.0000 4.7293 0.0000 0.0000 0.0000 5.1022" Properties=species:S:1:pos:R:3 pbc="T T T"
Ga 0.0000 0.0000 2.5511
Nb 0.0000 0.0000 0.0000
Tc 0.0000 2.3647 0.0000
Ga 2.5511 0.0000 0.0000
Ca 2.5511 2.3647 2.5511
```

Its magnetization is 0.27 μB per atom. As for the space group: P4/mmm, No. 123. The energy relative to the elements comes out at 0.457 eV per atom. The value obtained for the density of states at the Fermi level is 3.897 states/eV/cell.

***

Computed, not measured: a relaxed structure of YCuB3 at the PBE level of DFT.

Structure (extended XYZ):
```
5
Lattice="-1.3023 4.3004 -0.9838 -1.2738 -1.3486 -4.2090 -4.2236 -0.9192 1.5727" Properties=species:S:1:pos:R:3 pbc="T T T"
B -0.6511 2.1502 -0.4919
Y 0.0000 0.0000 0.0000
Cu -3.3998 1.0163 -1.8101
B -0.6369 -0.6743 -2.1045
B -2.1118 -0.4596 0.7863
```

Its magnetization is 0.00 μB per atom. As for the space group: Pm-3m, No. 221. As for the energy above the lowest structure with this stoichiometry: 1684.3 meV/atom. The energy relative to the elements comes out at 2.469 eV per atom. The value obtained for the density of states at the Fermi level is 6.800 states/eV/cell.

***

Computed, not measured: a relaxed structure of LiSb2Te at the PBE level of DFT.

Structure (extended XYZ):
```
4
Lattice="6.7432 -0.0370 0.0441 4.0847 5.3654 -0.0441 -5.3682 -2.7573 3.0091" Properties=species:S:1:pos:R:3 pbc="T T T"
Te 6.0672 2.9857 0.0000
Sb 10.2419 5.0400 0.0000
Sb 3.6060 0.0390 1.5266
Li 1.7866 2.4990 1.4825
```

Its magnetization is 0.00 μB per atom. As for the space group: Imm2, No. 44. The value obtained for the density of states at the Fermi level is 1.935 states/eV/cell. Its raw formation energy is -2.75 kcal/mol of atoms.